Compound: Hf2PaSn
Source: the Alexandria database
Functional: PBE-GGA
Structure: optimized geometry

## Properties
Formation energy   -0.736 eV/f.u.
ΔE to the lowest computed polymorph   0 meV per atom

Unit cell a=4.7135 b=4.7135 c=4.0860 alpha=90.00 beta=90.00 gamma=90.00
With the nearest neighbours (Å) after each atom.
Space group P4/mmm (No. 123)
One atom of each set of equivalent atoms:
1 Hf 0.0000 0.5000 0.0000 [2 per cell]  4 Sn 3.12, 4 Pa 3.12, 4 Hf 3.33
2 Pa 0.0000 0.0000 0.5000 [1 per cell]  8 Hf 3.12, 4 Sn 3.33
3 Sn 0.5000 0.5000 0.5000 [1 per cell]  8 Hf 3.12, 4 Pa 3.33

***

Compound: Li6PmSn6
Source: the Alexandria database
Functional: PBE-GGA
Structure: optimized geometry

## Properties
Formation energy   -4.904 eV/f.u.
ΔE to the lowest computed polymorph   11 meV per atom

Unit cell a=5.8331 b=5.8331 c=9.3575 alpha=90.00 beta=90.00 gamma=120.00
With the nearest neighbours (Å) after each atom.
Space group P6/mmm (No. 191)
One atom of each set of equivalent atoms:
1 Li 0.0000 0.5000 0.2469 [6 per cell]  6 Sn 2.86-3.07, 4 Li 2.92
2 Pm 0.0000 0.0000 0.0000 [1 per cell]  8 Sn 3.25-3.37
3 Sn 0.0000 0.0000 0.3478 [2 per cell]  1 Sn 2.85, 6 Li 3.07
4 Sn 0.3333 0.6667 0.0000 [2 per cell]  6 Li 2.86
5 Sn 0.3333 0.6667 0.5000 [2 per cell]  6 Li 2.91

***

Compound: Dy2Ga3Cu2
Source: the Alexandria database
Functional: PBE-GGA
Structure: optimized geometry

## Properties
Formation energy   -3.267 eV/f.u.
ΔE to the lowest computed polymorph   23 meV per atom

Unit cell a=10.2550 b=4.2168 c=6.5622 alpha=90.00 beta=114.39 gamma=90.00
With the nearest neighbours (Å) after each atom.
Space group C2/m (No. 12)
One atom of each set of equivalent atoms:
1 Dy 0.1503 0.0000 0.2775 [4 per cell]  4 Cu 2.97-3.08, 7 Ga 2.97-3.29
2 Ga 0.0000 0.5000 0.5000 [2 per cell]  2 Ga 2.60, 4 Cu 2.69
3 Ga 0.1063 0.5000 0.9355 [4 per cell]  3 Cu 2.56-2.57, 2 Ga 2.60-2.64
4 Cu 0.1440 0.0000 0.7421 [4 per cell]  5 Ga 2.56-2.69

***

Compound: U2S3I2
Source: the Alexandria database
Functional: PBE-GGA
Structure: optimized geometry

## Properties
E_form (uncorrected)   -1.139 eV/atom

Unit cell a=3.7549 b=7.9673 c=8.3254 alpha=89.91 beta=89.08 gamma=76.38
With the nearest neighbours (Å) after each atom.
Space group P-1 (No. 2)
One atom of each set of equivalent atoms:
1 U 0.1345 0.2351 0.4438 [2 per cell]  5 S 2.67-2.82
2 S 0.3070 0.8958 0.3630 [2 per cell]  3 U 2.67-2.71
3 S 0.5000 0.5000 0.5000 [1 per cell]  4 U 2.82
4 I 0.3555 0.7638 0.8544 [2 per cell]  2 U 3.11

***

Compound: LaPd3N
Source: the Alexandria database
Functional: PBE-GGA
Structure: optimized geometry

## Properties
E_form (uncorrected)   -0.260 eV/atom
ΔE to the lowest computed polymorph   0 meV per atom

Unit cell a=4.3844 b=4.3844 c=4.3844 alpha=90.00 beta=90.00 gamma=90.00
With the nearest neighbours (Å) after each atom.
Space group Pm-3m (No. 221)
One atom of each set of equivalent atoms:
1 La 0.0000 0.0000 0.0000 [1 per cell]  12 Pd 3.10
2 Pd 0.0000 0.5000 0.5000 [3 per cell]  2 N 2.19
3 N 0.5000 0.5000 0.5000 [1 per cell]  6 Pd 2.19

***

Compound: TaTiRu2
Source: the Alexandria database
Functional: PBE-GGA
Structure: optimized geometry

## Properties
Formation energy   0.643 eV/f.u.
ΔE to the lowest computed polymorph   713 meV per atom

Unit cell a=6.8196 b=6.8196 c=5.7063 alpha=90.00 beta=90.00 gamma=90.00
With the nearest neighbours (Å) after each atom.
Space group I-42d (No. 122)
One atom of each set of equivalent atoms:
1 Ta 0.0000 0.0000 0.0000 [4 per cell]  4 Ru 2.55
2 Ti 0.0000 0.0000 0.5000 [4 per cell]  4 Ru 2.48
3 Ru 0.2433 0.2500 0.6250 [8 per cell]  2 Ti 2.48, 2 Ta 2.55

***

Number 1: D(E_F) 5.030 states/eV per cell, size of the total moment 0.000 μB/cell. Number 2: D(E_F) 4.486 states/eV per cell, size of the total moment 0.000 μB/cell. Number 3: D(E_F) 7.047 states/eV per cell, size of the total moment 0.000 μB/cell. Number 4: D(E_F) 8.350 states/eV per cell, size of the total moment 4.007 μB/cell. Number 5: D(E_F) 0.804 states/eV per cell, size of the total moment 0.000 μB/cell. Number 6: D(E_F) 15.082 states/eV per cell, size of the total moment 0.000 μB/cell.